(1)
Density functional theory data (PBE) for an optimized crystal structure of Ca2BiI2.

Results
Its formation energy from raw total energies is -6.006 eV/f.u. The calculation puts the density of states at the Fermi level at 1.6 states/eV/f.u.

```
Ca2BiI2
1.0
3.779 -2.180 0.000
3.779 2.180 0.000
-2.744 0.000 12.756
Ca Bi I
2 1 2
Direct
0.229 0.229 0.172 Ca
0.771 0.771 0.828 Ca
0.500 0.500 0.000 Bi
0.052 0.052 0.684 I
0.948 0.948 0.316 I
```



(2)
Density functional theory data (PBE) for an optimized crystal structure of TcRh2Cl.

Results
Its formation energy from raw total energies is 0.708 eV/f.u. The calculation puts the density of states at the Fermi level at 4.3 states/eV/f.u.

```
TcRh2Cl
1.0
2.829 0.000 0.000
0.000 2.829 0.000
0.000 0.000 7.555
Tc Rh Cl
1 2 1
Direct
0.000 0.000 0.000 Tc
0.500 0.500 0.236 Rh
0.500 0.500 0.764 Rh
0.000 0.000 0.500 Cl
```



(3)
Density functional theory data (PBE) for an optimized crystal structure of VTeS2Br.

Results
Its formation energy from raw total energies is 3.442 eV/f.u. The calculation puts the density of states at the Fermi level at 5.6 states/eV/f.u.

```
VTeS2Br
1.0
4.979 0.000 0.000
0.000 4.979 0.000
0.000 0.000 5.614
V Te S Br
1 1 2 1
Direct
0.000 0.000 0.000 V
0.000 0.000 0.500 Te
0.000 0.500 0.500 S
0.500 0.000 0.500 S
0.500 0.500 0.000 Br
```



(4)
Density functional theory data (PBE) for an optimized crystal structure of CaAcSi2O6.

Results
Its formation energy from raw total energies is -28.047 eV/f.u. The calculation puts the density of states at the Fermi level at 1.2 states/eV/f.u.

```
CaAcSi2O6
1.0
5.065 -4.859 0.000
5.065 4.859 0.000
-1.859 0.000 5.832
Ca Ac Si O
2 2 4 12
Direct
0.100 0.900 0.750 Ca
0.900 0.100 0.250 Ca
0.311 0.689 0.250 Ac
0.689 0.311 0.750 Ac
0.210 0.367 0.735 Si
0.367 0.210 0.235 Si
0.633 0.790 0.765 Si
0.790 0.633 0.265 Si
0.022 0.215 0.649 O
0.141 0.590 0.832 O
0.215 0.022 0.149 O
0.314 0.359 0.492 O
0.359 0.314 0.992 O
0.410 0.859 0.668 O
0.590 0.141 0.332 O
0.641 0.686 0.008 O
0.686 0.641 0.508 O
0.785 0.978 0.851 O
0.859 0.410 0.168 O
0.978 0.785 0.351 O
```



Number 1: total energy -17.0 eV for the cell shown, spin magnetization 0.00 μB per formula unit. Number 2: total energy -26.2 eV for the cell shown, spin magnetization 0.00 μB per formula unit. Number 3: total energy -18.7 eV for the cell shown, spin magnetization 2.56 μB per formula unit. Number 4: total energy -149.5 eV for the cell shown, spin magnetization 0.00 μB per formula unit.